# In2NiRh PBE-GGA optimized geometry
data_In2NiRh
_symmetry_space_group_name_H-M 'I -4 2 d'
_symmetry_Int_Tables_number 122
_symmetry_space_group_name_Hall 'I -4 2bw'
_cell_length_a 7.081
_cell_length_b 7.081
_cell_length_c 5.841
_cell_angle_alpha 90.00
_cell_angle_beta 90.00
_cell_angle_gamma 90.00
loop_
_atom_site_label
_atom_site_fract_x
_atom_site_fract_y
_atom_site_fract_z
_atom_site_occupancy
In1 0.235 0.250 0.125 1
Ni1 0.000 0.000 0.000 1
Rh1 0.000 0.000 0.500 1
# Formation energy: 11.8 kJ/mol of atoms
# Total moment: 0.00 μB/f.u.


# In5NiRh4 PBE-GGA optimized geometry
data_In5NiRh4
_symmetry_space_group_name_H-M 'P 4/m m m'
_symmetry_Int_Tables_number 123
_symmetry_space_group_name_Hall '-P 4 2'
_cell_length_a 3.179
_cell_length_b 3.179
_cell_length_c 16.614
_cell_angle_alpha 90.00
_cell_angle_beta 90.00
_cell_angle_gamma 90.00
loop_
_atom_site_label
_atom_site_fract_x
_atom_site_fract_y
_atom_site_fract_z
_atom_site_occupancy
In1 0.000 0.000 0.000 1
In2 0.000 0.000 0.203 1
In3 0.000 0.000 0.405 1
Ni1 0.500 0.500 0.500 1
Rh1 0.500 0.500 0.101 1
Rh2 0.500 0.500 0.304 1
# Formation energy: -34.0 kJ/mol of atoms
# Total moment: 0.00 μB/f.u.


Look up the formation energy of the first one. 11.8 kJ/mol of atoms


Repeat the first record exactly.
# In2NiRh PBE-GGA optimized geometry
data_In2NiRh
_symmetry_space_group_name_H-M 'I -4 2 d'
_symmetry_Int_Tables_number 122
_symmetry_space_group_name_Hall 'I -4 2bw'
_cell_length_a 7.081
_cell_length_b 7.081
_cell_length_c 5.841
_cell_angle_alpha 90.00
_cell_angle_beta 90.00
_cell_angle_gamma 90.00
loop_
_atom_site_label
_atom_site_fract_x
_atom_site_fract_y
_atom_site_fract_z
_atom_site_occupancy
In1 0.235 0.250 0.125 1
Ni1 0.000 0.000 0.000 1
Rh1 0.000 0.000 0.500 1
# Formation energy: 11.8 kJ/mol of atoms
# Total moment: 0.00 μB/f.u.


Please write out number 2 again, unchanged.
# In5NiRh4 PBE-GGA optimized geometry
data_In5NiRh4
_symmetry_space_group_name_H-M 'P 4/m m m'
_symmetry_Int_Tables_number 123
_symmetry_space_group_name_Hall '-P 4 2'
_cell_length_a 3.179
_cell_length_b 3.179
_cell_length_c 16.614
_cell_angle_alpha 90.00
_cell_angle_beta 90.00
_cell_angle_gamma 90.00
loop_
_atom_site_label
_atom_site_fract_x
_atom_site_fract_y
_atom_site_fract_z
_atom_site_occupancy
In1 0.000 0.000 0.000 1
In2 0.000 0.000 0.203 1
In3 0.000 0.000 0.405 1
Ni1 0.500 0.500 0.500 1
Rh1 0.500 0.500 0.101 1
Rh2 0.500 0.500 0.304 1
# Formation energy: -34.0 kJ/mol of atoms
# Total moment: 0.00 μB/f.u.


The lowest formation energy belongs to which entry? In5NiRh4